# 1
DFT (GGA-PBE) results for a relaxed Sm2Ho2Sb5 crystal.

Computed properties:
symmetry	Cmce (64)
total magnetization	0.00	Bohr magnetons per cell
energy relative to the elements, uncorrected	-0.865	eV per atom

a = 8.9016 Å, b = 8.9016 Å, c = 8.2431 Å
α = 90.00°, β = 90.00°, γ = 53.71°
Last column: nearest neighbours and their distance in Å.
Sites, in units of the cell vectors:
Sm 0.1914 0.1914 0.0000  7 Sb 3.04-3.27
Sm 0.3086 0.3086 0.5000  7 Sb 3.04-3.27
Sm 0.6914 0.6914 0.5000  7 Sb 3.04-3.27
Sm 0.8086 0.8086 0.0000  7 Sb 3.04-3.27
Ho 0.1565 0.8435 0.6609  8 Sb 3.06-3.33
Ho 0.3435 0.6565 0.1609  8 Sb 3.06-3.33
Ho 0.6565 0.3435 0.8391  8 Sb 3.06-3.33
Ho 0.8435 0.1565 0.3391  8 Sb 3.06-3.33
Sb 0.0000 0.0000 0.0000  2 Sm 3.04, 4 Ho 3.06-3.07
Sb 0.0076 0.7179 0.3551  3 Ho 3.14-3.33, 3 Sm 3.19-3.27, 1 Sb 3.34
Sb 0.2179 0.5076 0.8551  3 Ho 3.14-3.33, 3 Sm 3.19-3.27, 1 Sb 3.34
Sb 0.2821 0.9924 0.3551  3 Ho 3.14-3.33, 3 Sm 3.19-3.27, 1 Sb 3.34
Sb 0.4924 0.7821 0.8551  3 Ho 3.14-3.33, 3 Sm 3.19-3.27, 1 Sb 3.34
Sb 0.5000 0.5000 0.5000  2 Sm 3.04, 4 Ho 3.06-3.07
Sb 0.5076 0.2179 0.1449  3 Ho 3.14-3.33, 3 Sm 3.19-3.27, 1 Sb 3.34
Sb 0.7179 0.0076 0.6449  3 Ho 3.14-3.33, 3 Sm 3.19-3.27, 1 Sb 3.34
Sb 0.7821 0.4924 0.1449  3 Ho 3.14-3.33, 3 Sm 3.19-3.27, 1 Sb 3.34
Sb 0.9924 0.2821 0.6449  3 Ho 3.14-3.33, 3 Sm 3.19-3.27, 1 Sb 3.34

***

# 2
DFT (GGA-PBE) results for a relaxed Sm4HoSb4 crystal.

Computed properties:
symmetry	I-42m (121)
total magnetization	0.00	Bohr magnetons per cell
energy relative to the elements, uncorrected	-0.625	eV per atom

a = 7.5175 Å, b = 7.5175 Å, c = 7.5175 Å
α = 115.72°, β = 115.72°, γ = 97.59°
Last column: nearest neighbours and their distance in Å.
Sites, in units of the cell vectors:
Sm 0.0000 0.5000 0.5000  4 Sb 3.16
Sm 0.1708 0.1708 0.0000  4 Sb 3.02-3.23, 1 Ho 3.26, 1 Sm 3.38
Sm 0.5000 0.0000 0.5000  4 Sb 3.16
Sm 0.8292 0.8292 0.0000  4 Sb 3.02-3.23, 1 Ho 3.26, 1 Sm 3.38
Ho 0.5000 0.5000 0.0000  4 Sb 3.00, 2 Sm 3.26
Sb 0.1242 0.5919 0.0000  1 Ho 3.00, 4 Sm 3.02-3.23
Sb 0.4081 0.4081 0.5324  1 Ho 3.00, 4 Sm 3.02-3.23
Sb 0.5919 0.1242 0.0000  1 Ho 3.00, 4 Sm 3.02-3.23
Sb 0.8758 0.8758 0.4676  1 Ho 3.00, 4 Sm 3.02-3.23

***

# 3
DFT (GGA-PBE) results for a relaxed SmHoSb2 crystal.

Computed properties:
symmetry	R3m (160)
total magnetization	0.00	Bohr magnetons per cell
energy relative to the elements, uncorrected	-1.022	eV per atom

a = 4.3901 Å, b = 4.3901 Å, c = 22.4653 Å
α = 90.00°, β = 90.00°, γ = 120.00°
Last column: nearest neighbours and their distance in Å.
Sites, in units of the cell vectors:
Sm 0.0000 0.0000 0.0000  6 Sb 3.13-3.19
Sm 0.3333 0.6667 0.6667  6 Sb 3.13-3.19
Sm 0.6667 0.3333 0.3333  6 Sb 3.13-3.19
Ho 0.0000 0.0000 0.8291  6 Sb 3.12-3.17
Ho 0.3333 0.6667 0.4958  6 Sb 3.12-3.17
Ho 0.6667 0.3333 0.1625  6 Sb 3.12-3.17
Sb 0.0000 0.0000 0.4151  3 Ho 3.12, 3 Sm 3.13
Sb 0.0000 0.0000 0.5803  3 Ho 3.17, 3 Sm 3.19
Sb 0.3333 0.6667 0.0818  3 Ho 3.12, 3 Sm 3.13
Sb 0.3333 0.6667 0.2469  3 Ho 3.17, 3 Sm 3.19
Sb 0.6667 0.3333 0.7484  3 Ho 3.12, 3 Sm 3.13
Sb 0.6667 0.3333 0.9136  3 Ho 3.17, 3 Sm 3.19

***

# 4
DFT (GGA-PBE) results for a relaxed SmHo8Sb6 crystal.

Computed properties:
symmetry	R-3 (148)
total magnetization	0.00	Bohr magnetons per cell
energy relative to the elements, uncorrected	-0.745	eV per atom

a = 9.4433 Å, b = 9.4433 Å, c = 9.4433 Å
α = 50.17°, β = 50.17°, γ = 50.17°
Last column: nearest neighbours and their distance in Å.
Sites, in units of the cell vectors:
Sm 0.0000 0.0000 0.0000  6 Sb 3.20
Ho 0.1242 0.4495 0.7927  3 Sb 2.98-2.99
Ho 0.2073 0.8758 0.5505  3 Sb 2.98-2.99
Ho 0.3335 0.3335 0.3335  6 Sb 3.13-3.15
Ho 0.4495 0.7927 0.1242  3 Sb 2.98-2.99
Ho 0.5505 0.2073 0.8758  3 Sb 2.98-2.99
Ho 0.6665 0.6665 0.6665  6 Sb 3.13-3.15
Ho 0.7927 0.1242 0.4495  3 Sb 2.98-2.99
Ho 0.8758 0.5505 0.2073  3 Sb 2.98-2.99
Sb 0.0669 0.7302 0.4080  5 Ho 2.98-3.15, 1 Sm 3.20
Sb 0.2698 0.5920 0.9331  5 Ho 2.98-3.15, 1 Sm 3.20
Sb 0.4080 0.0669 0.7302  5 Ho 2.98-3.15, 1 Sm 3.20
Sb 0.5920 0.9331 0.2698  5 Ho 2.98-3.15, 1 Sm 3.20
Sb 0.7302 0.4080 0.0669  5 Ho 2.98-3.15, 1 Sm 3.20
Sb 0.9331 0.2698 0.5920  5 Ho 2.98-3.15, 1 Sm 3.20